Material: La6Si2AuBr3
Method: DFT, GGA-PBE
State: optimized geometry

Computed properties:
* ΔE_f (raw): -1.106 eV/atom
* theoretical density: 6.004 g/cm3

Cell: 4.3539 8.9685 9.8815 Å, 102.62 102.73 90.00°
Sites, in units of the cell vectors:
1 Si 0.1669 0.3343 0.3338
2 Si 0.8331 0.6657 0.6662
3 Au 0.5000 0.0000 0.0000
4 La 0.6655 0.1061 0.3310
5 La 0.6736 0.5667 0.3471
6 La 0.9913 0.7603 0.9826
7 La 0.3345 0.8939 0.6690
8 La 0.3264 0.4333 0.6529
9 La 0.0087 0.2397 0.0174
10 Br 0.5000 0.5000 0.0000
11 Br 0.1664 0.8319 0.3328
12 Br 0.8336 0.1681 0.6672

***

Material: La8SiAu3Br4
Method: DFT, GGA-PBE
State: optimized geometry

Computed properties:
* ΔE_f (raw): -1.058 eV/atom
* theoretical density: 6.959 g/cm3

Cell: 8.8406 8.8479 8.8401 Å, 119.97 120.00 90.00°
Sites, in units of the cell vectors:
1 La 0.2408 0.7319 0.9913
2 La 0.2577 0.2732 0.5154
3 La 0.7423 0.7268 0.4846
4 La 0.7592 0.2681 0.5183
5 La 0.2495 0.2681 0.0087
6 La 0.7505 0.7319 0.9913
7 La 0.2408 0.7319 0.4817
8 La 0.7592 0.2681 0.0087
9 Br 0.5000 0.0000 0.0000
10 Br 0.0000 0.0000 0.0000
11 Br 0.0000 0.0000 0.5000
12 Br 0.5000 0.0000 0.5000
13 Si 0.0000 0.5000 0.0000
14 Au 0.5000 0.5000 0.5000
15 Au 0.0000 0.5000 0.5000
16 Au 0.5000 0.5000 0.0000

***

Material: La6Tc2AuBr3
Method: DFT, GGA-PBE
State: optimized geometry

Computed properties:
* ΔE_f (raw): -0.818 eV/atom
* theoretical density: 6.535 g/cm3

Cell: 4.2042 9.4253 10.2142 Å, 109.42 101.88 90.00°
Sites, in units of the cell vectors:
1 Br 0.1701 0.8332 0.3401
2 Br 0.5000 0.5000 0.0000
3 Br 0.8299 0.1668 0.6599
4 La 0.0233 0.2483 0.0466
5 La 0.9767 0.7517 0.9534
6 La 0.3218 0.4456 0.6437
7 La 0.3372 0.8775 0.6745
8 La 0.6628 0.1225 0.3255
9 La 0.6782 0.5544 0.3563
10 Tc 0.1541 0.3273 0.3081
11 Tc 0.8459 0.6727 0.6919
12 Au 0.5000 0.0000 0.0000

***

Material: LaTc2AuBr
Method: DFT, GGA-PBE
State: optimized geometry

Computed properties:
* ΔE_f (raw): 1.043 eV/atom
* theoretical density: 6.908 g/cm3

Cell: 5.0102 5.8582 5.0102 Å, 90.00 90.00 90.00°
Sites, in units of the cell vectors:
1 La 0.0000 0.5000 0.0000
2 Au 0.0000 0.0000 0.0000
3 Tc 0.0000 0.0000 0.5000
4 Tc 0.5000 0.0000 0.0000
5 Br 0.5000 0.5000 0.5000

***

Q: What is the ΔE_f (raw) in the third record?
A: -0.818 eV/atom

***

Please write out number 1 again, unchanged.
Material: La6Si2AuBr3
Method: DFT, GGA-PBE
State: optimized geometry

Computed properties:
* ΔE_f (raw): -1.106 eV/atom
* theoretical density: 6.004 g/cm3

Cell: 4.3539 8.9685 9.8815 Å, 102.62 102.73 90.00°
Sites, in units of the cell vectors:
1 Si 0.1669 0.3343 0.3338
2 Si 0.8331 0.6657 0.6662
3 Au 0.5000 0.0000 0.0000
4 La 0.6655 0.1061 0.3310
5 La 0.6736 0.5667 0.3471
6 La 0.9913 0.7603 0.9826
7 La 0.3345 0.8939 0.6690
8 La 0.3264 0.4333 0.6529
9 La 0.0087 0.2397 0.0174
10 Br 0.5000 0.5000 0.0000
11 Br 0.1664 0.8319 0.3328
12 Br 0.8336 0.1681 0.6672

***

Q: Which value of ΔE_f (raw) does entry 1 give?
A: -1.106 eV/atom

***

Q: What is the theoretical density in the first record?
A: 6.004 g/cm3